CePuHg5 after structural relaxation, computed with PBE.

```
CePuHg5
1.0
-3.5714 -0.3040 -2.5794
-2.2014 -2.9032 3.3901
-3.4888 7.2836 3.9721
Ce Pu Hg
1 1 5
Cartesian
-1.7444 3.6418 1.9861
-2.8864 -1.6036 0.4054
-3.7121 4.0002 4.6682
-1.9781 0.3802 2.6940
-4.4944 5.5031 1.7943
-2.5657 1.4766 -0.4016
-4.6308 2.0382 2.3914
```

Crystal system: orthorhombic

=====

Ce2PuHg6 after structural relaxation, computed with PBE.

```
Ce2PuHg6
1.0
3.3178 -0.0004 0.0004
-0.0003 7.6799 4.4154
-0.0018 0.0147 8.8587
Ce Pu Hg
2 1 6
Cartesian
-0.0006 2.5646 4.4243
3.3163 5.1296 8.8502
0.0000 0.0000 0.0000
1.6521 5.1383 11.8044
1.6630 0.0049 2.9488
1.6635 2.5559 1.4701
1.6581 5.1279 5.8948
1.6526 7.6893 10.3257
1.6576 2.5663 7.3797
```

Crystal system: hexagonal

=====

Ce8Pu2Hg after structural relaxation, computed with PBE.

```
Ce8Pu2Hg
1.0
-0.7574 4.4194 -4.6355
-1.1602 -6.4173 -1.0462
-6.5562 2.4743 5.4420
Ce Pu Hg
8 2 1
Cartesian
-6.5952 3.2500 1.0107
-4.0457 4.4907 -1.2238
-2.2240 -0.9957 -0.4597
-2.6060 -2.5114 -3.7832
-2.9875 -3.7060 -0.3964
-4.4797 -2.2202 2.3905
-6.6028 0.5714 3.5531
-5.9246 -0.1496 0.0438
-2.9300 0.9556 -2.4207
-4.1634 1.4331 1.3076
-7.5270 -2.6786 3.1750
```

Crystal system: triclinic

=====

Ce2PuHg after structural relaxation, computed with PBE.

```
Ce2PuHg
1.0
3.7149 0.0000 0.0000
1.8575 3.2172 0.0000
1.8575 1.0724 8.0877
Ce Pu Hg
2 1 1
Cartesian
1.8575 1.0724 6.5005
1.8575 1.0724 1.5086
3.7149 2.1448 0.0789
3.7149 2.1448 4.0435
```

Crystal system: trigonal
Distance to the lowest polymorph of the same formula: 0.264 eV per atom

=====

Ce8Pu3Hg2 after structural relaxation, computed with PBE.

```
Ce8Pu3Hg2
1.0
7.5103 0.0000 0.0000
-3.7551 8.4764 -0.7213
0.0000 0.9834 5.6143
Ce Pu Hg
8 3 2
Cartesian
0.0000 6.9249 -0.5533
3.7551 2.5349 5.4463
3.7551 5.5247 0.0190
0.0000 3.9351 4.8740
5.6880 2.1858 2.4340
1.8223 2.1858 2.4340
1.9328 7.2740 2.4591
-1.9329 7.2740 2.4591
0.0000 0.4917 2.8072
1.4955 0.0000 0.0000
6.0148 0.0000 0.0000
3.7551 4.6309 3.0783
0.0000 4.8289 1.8147
```

Crystal system: monoclinic

=====

Ce3PuHg2 after structural relaxation, computed with PBE.

```
Ce3PuHg2
1.0
6.9365 0.0000 -0.2582
3.4683 5.6253 -0.1291
2.1355 0.0000 7.8197
Ce Pu Hg
6 2 4
Cartesian
7.0443 3.4596 5.9556
2.7608 0.0000 1.1618
5.4960 2.1657 1.4768
8.9642 3.4596 1.3477
3.5760 2.1657 6.0847
6.3112 0.0000 6.3997
6.9365 3.3660 -0.2582
3.4683 2.2593 -0.1291
0.0000 0.0000 0.0000
4.5360 0.0000 3.7807
4.5360 4.1972 3.7807
8.0043 1.4281 3.6516
```

Crystal system: monoclinic

=====

Let's list E_form in order: -99.8; -299.0; 23.7; 140.9; 38.7; -27.4 meV/atom.